First-principles (PBE-GGA) data for a relaxed structure of RbP2AuO, as listed in Alexandria via LeMat-Bulk.

Computed properties:
Uncorrected formation energy in eV per atom: 0.5496
Density in g/cm³: 5.33
Space-group type: No. 123
E above lowest polymorph in eV/atom: 0.000
Fermi-level density of states in states/eV/atom: 0.7605
Crystal system: tetragonal

Structure (POSCAR):
```
RbP2AuO
1.0
4.860 0.000 0.000
0.000 4.860 0.000
0.000 0.000 4.749
Rb P Au O
1 2 1 1
direct
0.000 0.000 0.000
0.000 0.500 0.500
0.500 0.000 0.500
0.500 0.500 0.500
0.500 0.500 0.000
```